Rb2LaCeS4: optimized geometry, PBE.

abc: 7.433 4.292 8.066
angles: 90.00 107.88 90.00
Space group P2/m (No. 10)
Asymmetric unit:
Rb: 0.000 0.000 0.000
Rb: 0.500 0.500 0.000
La: 0.000 0.500 0.500
Ce: 0.500 0.000 0.500
S: 0.235 0.000 0.697
S: 0.271 0.500 0.304

Calculated values
crystal system: monoclinic
total DFT energy (no corrections): -5.493 eV/atom
E_form (uncorrected): -176.5 kJ per mole of atoms

---

Sm2Cd3Hg4: optimized geometry, PBE.

abc: 6.159 16.357 8.957
angles: 90.00 90.00 90.00
Space group Cmce (No. 64)
Asymmetric unit:
Sm: 0.000 0.109 0.082
Cd: 0.000 0.000 0.500
Cd: 0.250 0.223 0.750
Hg: 0.000 0.180 0.467
Hg: 0.250 0.045 0.750

Calculated values
crystal system: orthorhombic
total DFT energy (no corrections): -1.721 eV/atom
excess energy over the best structure of this formula in the dataset: 90 meV/atom
DFT formation energy: -0.23 eV per atom

---

Sb2TeIrBr: optimized geometry, PBE.

abc: 5.250 5.250 5.334
angles: 90.00 90.00 90.00
Space group P4/mmm (No. 123)
Asymmetric unit:
Sb: 0.000 0.500 0.000
Te: 0.000 0.000 0.500
Ir: 0.000 0.000 0.000
Br: 0.500 0.500 0.500

Calculated values
crystal system: tetragonal
total DFT energy (no corrections): -3.979 eV/atom
E_form (uncorrected): 39.1 kJ per mole of atoms
excess energy over the best structure of this formula in the dataset: 0 meV/atom